No. 1
Compound: Ba6Na2IrCl
Source: Alexandria via LeMat-Bulk
Functional: GGA-PBE
Structure: relaxed

Output
Formation energy (no corrections), meV/atom: -433
Crystal system: tetragonal

Lattice parameters (Å, degrees): 9.020 9.020 12.743 90.00 90.00 90.00
Space group I4/mmm (No. 139)
One atom of each set of equivalent atoms:
Ba (0.000, 0.000, 0.239) (multiplicity 4)
Ba (0.239, 0.239, 0.000) (multiplicity 8)
Na (0.000, 0.500, 0.250) (multiplicity 4)
Ir (0.000, 0.000, 0.000) (multiplicity 2)
Cl (0.000, 0.000, 0.500) (multiplicity 2)

***

No. 2
Compound: ZrMo2Pb
Source: Alexandria via LeMat-Bulk
Functional: GGA-PBE
Structure: relaxed

Output
Calculated formation energy, meV per atom: 326.9
Crystal system: monoclinic

Lattice parameters (Å, degrees): 3.091 4.822 5.488 90.00 95.48 90.00
Space group P2/m (No. 10)
One atom of each set of equivalent atoms:
Zr (0.000, 0.000, 0.000) (multiplicity 1)
Mo (0.328, 0.500, 0.796) (multiplicity 2)
Pb (0.500, 0.000, 0.500) (multiplicity 1)

***

No. 3
Compound: GdThTc
Source: Alexandria via LeMat-Bulk
Functional: GGA-PBE
Structure: relaxed

Output
Energy relative to the lowest polymorph listed for this composition, eV/f.u.: 0.00
Calculated formation energy, meV per atom: -52.8
Crystal system: tetragonal

Lattice parameters (Å, degrees): 3.494 3.494 12.894 90.00 90.00 90.00
Space group I4mm (No. 107)
One atom of each set of equivalent atoms:
Gd (0.000, 0.000, 0.000) (multiplicity 2)
Th (0.000, 0.000, 0.265) (multiplicity 2)
Tc (0.000, 0.000, 0.640) (multiplicity 2)

***

No. 4
Compound: AlTlRu2
Source: Alexandria via LeMat-Bulk
Functional: GGA-PBE
Structure: relaxed

Output
Energy relative to the lowest polymorph listed for this composition, eV/f.u.: 1.16
Calculated formation energy, meV per atom: 331.7
Crystal system: tetragonal

Lattice parameters (Å, degrees): 3.903 3.903 8.478 90.00 90.00 90.00
Space group I-4m2 (No. 119)
One atom of each set of equivalent atoms:
Al (0.000, 0.000, 0.000) (multiplicity 2)
Tl (0.000, 0.500, 0.250) (multiplicity 2)
Ru (0.000, 0.000, 0.500) (multiplicity 2)
Ru (0.000, 0.500, 0.750) (multiplicity 2)

***

No. 5
Compound: P2Pd5Pb
Source: Alexandria via LeMat-Bulk
Functional: GGA-PBE
Structure: relaxed

Output
Calculated formation energy, meV per atom: -413.1
Crystal system: orthorhombic

Lattice parameters (Å, degrees): 3.855 6.789 10.435 90.00 90.00 90.00
Space group Immm (No. 71)
One atom of each set of equivalent atoms:
P (0.000, 0.000, 0.224) (multiplicity 4)
Pd (0.000, 0.000, 0.000) (multiplicity 2)
Pd (0.000, 0.287, 0.347) (multiplicity 8)
Pb (0.000, 0.500, 0.000) (multiplicity 2)

***

No. 6
Compound: Sc5AlCd
Source: Alexandria via LeMat-Bulk
Functional: GGA-PBE
Structure: relaxed

Output
Calculated formation energy, meV per atom: -47.2
Crystal system: monoclinic

Lattice parameters (Å, degrees): 7.785 8.231 10.457 90.00 104.18 90.00
Space group C2/c (No. 15)
One atom of each set of equivalent atoms:
Sc (0.000, 0.132, 0.250) (multiplicity 4)
Sc (0.120, 0.363, 0.530) (multiplicity 8)
Sc (0.204, 0.210, 0.841) (multiplicity 8)
Al (0.000, 0.483, 0.250) (multiplicity 4)
Cd (0.000, 0.000, 0.000) (multiplicity 4)

***

No. 7
Compound: TlAgPb
Source: Alexandria via LeMat-Bulk
Functional: GGA-PBE
Structure: relaxed

Output
Calculated formation energy, meV per atom: 113.0
Crystal system: orthorhombic

Lattice parameters (Å, degrees): 4.659 10.663 6.435 90.00 90.00 90.00
Space group Cmcm (No. 63)
One atom of each set of equivalent atoms:
Tl (0.000, 0.000, 0.000) (multiplicity 4)
Ag (0.000, 0.377, 0.250) (multiplicity 4)
Pb (0.000, 0.303, 0.750) (multiplicity 4)

***

No. 8
Compound: CuPCl2
Source: Alexandria via LeMat-Bulk
Functional: GGA-PBE
Structure: relaxed

Output
Formation energy (no corrections), meV/atom: 305
Energy relative to the lowest polymorph listed for this composition, eV/f.u.: 2.60
Crystal system: trigonal

Lattice parameters (Å, degrees): 3.2972 3.2972 23.2464 90.00 90.00 120.00
Space group R-3m (No. 166, hexagonal axes)
One atom of each set of equivalent atoms:
Cu (0.0000, 0.0000, 0.0000) (multiplicity 3)
P (0.0000, 0.0000, 0.5000) (multiplicity 3)
Cl (0.0000, 0.0000, 0.2679) (multiplicity 6)

***

For reference, size of the total moment by record: 0.000, 0.000, 14.455, 0.009, 0.000, 0.000, 0.000, 0.002 μB per cell.
For reference, DOS(E_F) by record: 14.18, 2.63, 4.85, 10.46, 6.27, 38.50, 4.75, 8.58 states/eV/cell.